1.
Compound: RbLaAg2I6
Source: the Alexandria database
Functional: PBE
Structure: relaxed

Computed properties:
The formation energy from raw total energies comes out at -951 kJ/mol of formula units.

Structure (CIF):
```
data_RbLaAg2I6
_cell_length_a 16.374
_cell_length_b 14.815
_cell_length_c 8.821
_cell_angle_alpha 90.00
_cell_angle_beta 114.36
_cell_angle_gamma 90.00
_space_group_name_H-M_alt 'C 1 2/c 1'
_space_group_IT_number 15
loop_
_space_group_symop_operation_xyz
'x,y,z'
'-x,-y,-z'
'-x,y,-z+1/2'
'x,-y,z+1/2'
'x+1/2,y+1/2,z'
'-x+1/2,-y+1/2,-z'
'-x+1/2,y+1/2,-z+1/2'
'x+1/2,-y+1/2,z+1/2'
loop_
_atom_site_label
_atom_site_type_symbol
_atom_site_fract_x
_atom_site_fract_y
_atom_site_fract_z
Rb1 Rb 0.000 0.079 0.250
La1 La 0.000 0.286 0.750
Ag1 Ag 0.197 0.410 0.072
I1 I 0.101 0.269 0.139
I2 I 0.121 0.119 0.706
I3 I 0.140 0.430 0.728
```


2.
Compound: CsNbTl2Se4
Source: the Alexandria database
Functional: PBE
Structure: relaxed

Computed properties:
The formation energy from raw total energies comes out at -578 kJ/mol of formula units.

Structure (CIF):
```
data_CsNbTl2Se4
_cell_length_a 7.770
_cell_length_b 8.429
_cell_length_c 9.273
_cell_angle_alpha 90.00
_cell_angle_beta 90.00
_cell_angle_gamma 90.00
_space_group_name_H-M_alt 'I 2 2 2'
_space_group_IT_number 23
loop_
_space_group_symop_operation_xyz
'x,y,z'
'-x,-y,z'
'x,-y,-z'
'-x,y,-z'
'x+1/2,y+1/2,z+1/2'
'-x+1/2,-y+1/2,z+1/2'
'x+1/2,-y+1/2,-z+1/2'
'-x+1/2,y+1/2,-z+1/2'
loop_
_atom_site_label
_atom_site_type_symbol
_atom_site_fract_x
_atom_site_fract_y
_atom_site_fract_z
Cs1 Cs 0.000 0.000 0.000
Nb1 Nb 0.000 0.000 0.500
Tl1 Tl 0.000 0.500 0.290
Se1 Se 0.186 0.169 0.645
```


3.
Compound: VZn
Source: the Alexandria database
Functional: PBE
Structure: relaxed

Computed properties:
The energy of formation is 38.55 kcal/mol of atoms.

Structure (CIF):
```
data_VZn
_cell_length_a 7.230
_cell_length_b 7.230
_cell_length_c 7.230
_cell_angle_alpha 90.00
_cell_angle_beta 90.00
_cell_angle_gamma 90.00
_space_group_name_H-M_alt 'P m -3 n'
_space_group_IT_number 223
_space_group_name_Hall '-P 4n 2 3'
loop_
_atom_site_label
_atom_site_type_symbol
_atom_site_fract_x
_atom_site_fract_y
_atom_site_fract_z
V1 V 0.000 0.250 0.500
Zn1 Zn 0.000 0.500 0.250
```


4.
Compound: GdMgCuRh
Source: the Alexandria database
Functional: PBE
Structure: relaxed

Computed properties:
The energy of formation is -9.15 kcal/mol of atoms.

Structure (CIF):
```
data_GdMgCuRh
_cell_length_a 6.687
_cell_length_b 6.687
_cell_length_c 6.687
_cell_angle_alpha 90.00
_cell_angle_beta 90.00
_cell_angle_gamma 90.00
_space_group_name_H-M_alt 'F -4 3 m'
_space_group_IT_number 216
_space_group_name_Hall 'F -4 2 3'
loop_
_atom_site_label
_atom_site_type_symbol
_atom_site_fract_x
_atom_site_fract_y
_atom_site_fract_z
Gd1 Gd 0.000 0.000 0.000
Mg1 Mg 0.000 0.000 0.500
Cu1 Cu 0.250 0.250 0.250
Rh1 Rh 0.250 0.250 0.750
```


5.
Compound: NaSr2OsS
Source: the Alexandria database
Functional: PBE
Structure: relaxed

Computed properties:
The formation energy from raw total energies comes out at 457 kJ/mol of formula units.

Structure (CIF):
```
data_NaSr2OsS
_cell_length_a 5.858
_cell_length_b 5.858
_cell_length_c 4.710
_cell_angle_alpha 90.00
_cell_angle_beta 90.00
_cell_angle_gamma 90.00
_space_group_name_H-M_alt 'P 4/m m m'
_space_group_IT_number 123
_space_group_name_Hall '-P 4 2'
loop_
_atom_site_label
_atom_site_type_symbol
_atom_site_fract_x
_atom_site_fract_y
_atom_site_fract_z
Na1 Na 0.000 0.000 0.000
Sr1 Sr 0.000 0.500 0.000
Os1 Os 0.000 0.000 0.500
S1 S 0.500 0.500 0.500
```


6.
Compound: PaHPb2O6
Source: the Alexandria database
Functional: PBE
Structure: relaxed

Computed properties:
As for the uncorrected energy: -67.80 eV per cell.

Structure (CIF):
```
data_PaHPb2O6
_cell_length_a 5.820
_cell_length_b 5.945
_cell_length_c 6.663
_cell_angle_alpha 65.51
_cell_angle_beta 87.82
_cell_angle_gamma 61.01
_space_group_name_H-M_alt 'P 1'
_space_group_IT_number 1
loop_
_space_group_symop_operation_xyz
'x,y,z'
loop_
_atom_site_label
_atom_site_type_symbol
_atom_site_fract_x
_atom_site_fract_y
_atom_site_fract_z
Pa1 Pa 0.000 0.000 0.000
H1 H 0.608 0.186 0.289
Pb1 Pb 0.243 0.565 0.617
Pb2 Pb 0.666 0.664 0.027
O1 O 0.300 0.792 0.814
O2 O 0.368 0.811 0.224
O3 O 0.637 0.106 0.813
O4 O 0.764 0.197 0.241
O5 O 0.938 0.435 0.848
O6 O 0.986 0.624 0.217
```


7.
Compound: ScBOs2O
Source: the Alexandria database
Functional: PBE
Structure: relaxed

Computed properties:
The formation energy from raw total energies comes out at 291 kJ/mol of formula units.

Structure (CIF):
```
data_ScBOs2O
_cell_length_a 4.005
_cell_length_b 4.005
_cell_length_c 4.202
_cell_angle_alpha 90.00
_cell_angle_beta 90.00
_cell_angle_gamma 90.00
_space_group_name_H-M_alt 'P 4/m m m'
_space_group_IT_number 123
_space_group_name_Hall '-P 4 2'
loop_
_atom_site_label
_atom_site_type_symbol
_atom_site_fract_x
_atom_site_fract_y
_atom_site_fract_z
Sc1 Sc 0.000 0.000 0.000
B1 B 0.500 0.500 0.000
Os1 Os 0.000 0.500 0.500
O1 O 0.500 0.500 0.500
```


8.
Compound: Ce3Ni4As4
Source: the Alexandria database
Functional: PBE
Structure: relaxed

Computed properties:
The energy of formation is -21.39 kcal/mol of atoms.

Structure (CIF):
```
data_Ce3Ni4As4
_cell_length_a 4.016
_cell_length_b 4.058
_cell_length_c 24.476
_cell_angle_alpha 90.00
_cell_angle_beta 90.00
_cell_angle_gamma 90.00
_space_group_name_H-M_alt 'I m m m'
_space_group_IT_number 71
_space_group_name_Hall '-I 2 2'
loop_
_atom_site_label
_atom_site_type_symbol
_atom_site_fract_x
_atom_site_fract_y
_atom_site_fract_z
Ce1 Ce 0.000 0.000 0.000
Ce2 Ce 0.000 0.500 0.151
Ni1 Ni 0.000 0.000 0.250
Ni2 Ni 0.000 0.500 0.399
As1 As 0.000 0.000 0.443
As2 As 0.000 0.500 0.303
```


9.
Compound: Ca2TbAl3Au12
Source: the Alexandria database
Functional: PBE
Structure: relaxed

Computed properties:
The energy of formation is -5.58 kcal/mol of atoms.

Structure (CIF):
```
data_Ca2TbAl3Au12
_cell_length_a 8.8475
_cell_length_b 8.8475
_cell_length_c 18.9123
_cell_angle_alpha 90.00
_cell_angle_beta 90.00
_cell_angle_gamma 120.00
_space_group_name_H-M_alt 'R -3 m'
_space_group_IT_number 166
_space_group_name_Hall '-R 3 2"'
loop_
_atom_site_label
_atom_site_type_symbol
_atom_site_fract_x
_atom_site_fract_y
_atom_site_fract_z
Ca1 Ca 0.0000 0.0000 0.0958
Tb1 Tb 0.0000 0.0000 0.5000
Al1 Al 0.0000 0.5000 0.0000
Au1 Au 0.0205 0.5102 0.3546
Au2 Au 0.0333 0.5167 0.8669
```


10.
Compound: Pm3InSn3
Source: the Alexandria database
Functional: PBE
Structure: relaxed

Computed properties:
The energy of formation is -10.25 kcal/mol of atoms.

Structure (CIF):
```
data_Pm3InSn3
_cell_length_a 9.1485
_cell_length_b 9.1485
_cell_length_c 6.0784
_cell_angle_alpha 90.00
_cell_angle_beta 90.00
_cell_angle_gamma 120.00
_space_group_name_H-M_alt 'P 63/m'
_space_group_IT_number 176
_space_group_name_Hall '-P 6c'
loop_
_atom_site_label
_atom_site_type_symbol
_atom_site_fract_x
_atom_site_fract_y
_atom_site_fract_z
Pm1 Pm 0.0836 0.4162 0.2500
In1 In 0.3333 0.6667 0.7500
Sn1 Sn 0.0630 0.3115 0.7500
```


11.
Compound: CaSbPd4
Source: the Alexandria database
Functional: PBE
Structure: relaxed

Computed properties:
Its energy relative to the lowest polymorph listed for this composition is 63 meV per atom. The formation energy from raw total energies comes out at -251 kJ/mol of formula units.

Structure (CIF):
```
data_CaSbPd4
_cell_length_a 7.654
_cell_length_b 7.654
_cell_length_c 7.654
_cell_angle_alpha 90.00
_cell_angle_beta 90.00
_cell_angle_gamma 90.00
_space_group_name_H-M_alt 'F -4 3 m'
_space_group_IT_number 216
_space_group_name_Hall 'F -4 2 3'
loop_
_atom_site_label
_atom_site_type_symbol
_atom_site_fract_x
_atom_site_fract_y
_atom_site_fract_z
Ca1 Ca 0.000 0.000 0.000
Sb1 Sb 0.250 0.250 0.250
Pd1 Pd 0.125 0.125 0.625
```


12.
Compound: NbInCoHg2
Source: the Alexandria database
Functional: PBE
Structure: relaxed

Computed properties:
The energy of formation is 11.85 kcal/mol of atoms.

Structure (CIF):
```
data_NbInCoHg2
_cell_length_a 4.973
_cell_length_b 4.973
_cell_length_c 4.507
_cell_angle_alpha 90.00
_cell_angle_beta 90.00
_cell_angle_gamma 90.00
_space_group_name_H-M_alt 'P 4/m m m'
_space_group_IT_number 123
_space_group_name_Hall '-P 4 2'
loop_
_atom_site_label
_atom_site_type_symbol
_atom_site_fract_x
_atom_site_fract_y
_atom_site_fract_z
Nb1 Nb 0.000 0.000 0.000
In1 In 0.500 0.500 0.000
Co1 Co 0.000 0.000 0.500
Hg1 Hg 0.000 0.500 0.500
```


13.
Compound: Th4Ge2IrSe
Source: the Alexandria database
Functional: PBE
Structure: relaxed

Computed properties:
The formation energy from raw total energies comes out at -777 kJ/mol of formula units.

Structure (CIF):
```
data_Th4Ge2IrSe
_cell_length_a 7.377
_cell_length_b 4.241
_cell_length_c 7.428
_cell_angle_alpha 90.00
_cell_angle_beta 110.07
_cell_angle_gamma 90.00
_space_group_name_H-M_alt 'P 1 2/m 1'
_space_group_IT_number 10
loop_
_space_group_symop_operation_xyz
'x,y,z'
'-x,-y,-z'
'-x,y,-z'
'x,-y,z'
loop_
_atom_site_label
_atom_site_type_symbol
_atom_site_fract_x
_atom_site_fract_y
_atom_site_fract_z
Th1 Th 0.237 0.000 0.231
Th2 Th 0.252 0.500 0.758
Ge1 Ge 0.500 0.000 0.000
Ge2 Ge 0.500 0.500 0.500
Ir1 Ir 0.000 0.500 0.000
Se1 Se 0.000 0.000 0.500
```


14.
Compound: DyMgSc2Bi4
Source: the Alexandria database
Functional: PBE
Structure: relaxed

Computed properties:
The energy of formation is -12.07 kcal/mol of atoms.

Structure (CIF):
```
data_DyMgSc2Bi4
_cell_length_a 7.485
_cell_length_b 4.312
_cell_length_c 7.653
_cell_angle_alpha 90.00
_cell_angle_beta 109.38
_cell_angle_gamma 90.00
_space_group_name_H-M_alt 'P 1 2/m 1'
_space_group_IT_number 10
loop_
_space_group_symop_operation_xyz
'x,y,z'
'-x,-y,-z'
'-x,y,-z'
'x,-y,z'
loop_
_atom_site_label
_atom_site_type_symbol
_atom_site_fract_x
_atom_site_fract_y
_atom_site_fract_z
Dy1 Dy 0.000 0.000 0.000
Mg1 Mg 0.500 0.500 0.000
Sc1 Sc 0.000 0.500 0.500
Sc2 Sc 0.500 0.000 0.500
Bi1 Bi 0.253 0.000 0.741
Bi2 Bi 0.258 0.500 0.263
```


15.
Compound: La2SnRuPb
Source: the Alexandria database
Functional: PBE
Structure: relaxed

Computed properties:
Its energy relative to the lowest polymorph listed for this composition is 67 meV per atom. The energy of formation is -9.79 kcal/mol of atoms.

Structure (CIF):
```
data_La2SnRuPb
_cell_length_a 5.416
_cell_length_b 5.416
_cell_length_c 5.253
_cell_angle_alpha 90.00
_cell_angle_beta 90.00
_cell_angle_gamma 90.00
_space_group_name_H-M_alt 'P 4/m m m'
_space_group_IT_number 123
_space_group_name_Hall '-P 4 2'
loop_
_atom_site_label
_atom_site_type_symbol
_atom_site_fract_x
_atom_site_fract_y
_atom_site_fract_z
La1 La 0.000 0.500 0.000
Sn1 Sn 0.000 0.000 0.500
Ru1 Ru 0.500 0.500 0.000
Pb1 Pb 0.500 0.500 0.500
```


16.
Compound: La3AgPt2
Source: the Alexandria database
Functional: PBE
Structure: relaxed

Computed properties:
The energy of formation is -15.79 kcal/mol of atoms.

Structure (CIF):
```
data_La3AgPt2
_cell_length_a 4.022
_cell_length_b 18.097
_cell_length_c 4.528
_cell_angle_alpha 90.00
_cell_angle_beta 90.00
_cell_angle_gamma 90.00
_space_group_name_H-M_alt 'C m m m'
_space_group_IT_number 65
_space_group_name_Hall '-C 2 2'
loop_
_atom_site_label
_atom_site_type_symbol
_atom_site_fract_x
_atom_site_fract_y
_atom_site_fract_z
La1 La 0.000 0.000 0.000
La2 La 0.000 0.162 0.500
Ag1 Ag 0.000 0.500 0.500
Pt1 Pt 0.000 0.373 0.000
```


17.
Compound: Er3Zn2Si4
Source: the Alexandria database
Functional: PBE
Structure: relaxed

Computed properties:
The formation energy from raw total energies comes out at -487 kJ/mol of formula units.

Structure (CIF):
```
data_Er3Zn2Si4
_cell_length_a 10.651
_cell_length_b 4.063
_cell_length_c 8.250
_cell_angle_alpha 90.00
_cell_angle_beta 109.37
_cell_angle_gamma 90.00
_space_group_name_H-M_alt 'C 1 2/m 1'
_space_group_IT_number 12
loop_
_space_group_symop_operation_xyz
'x,y,z'
'-x,-y,-z'
'-x,y,-z'
'x,-y,z'
'x+1/2,y+1/2,z'
'-x+1/2,-y+1/2,-z'
'-x+1/2,y+1/2,-z'
'x+1/2,-y+1/2,z'
loop_
_atom_site_label
_atom_site_type_symbol
_atom_site_fract_x
_atom_site_fract_y
_atom_site_fract_z
Er1 Er 0.000 0.000 0.000
Er2 Er 0.125 0.500 0.693
Zn1 Zn 0.173 0.500 0.330
Si1 Si 0.083 0.000 0.411
Si2 Si 0.220 0.500 0.058
```


18.
Compound: Pt2RhCl
Source: the Alexandria database
Functional: PBE
Structure: relaxed

Computed properties:
Its energy relative to the lowest polymorph listed for this composition is 301 meV per atom. The formation energy from raw total energies comes out at 193 kJ/mol of formula units.

Structure (CIF):
```
data_Pt2RhCl
_cell_length_a 5.311
_cell_length_b 10.194
_cell_length_c 2.831
_cell_angle_alpha 90.00
_cell_angle_beta 122.02
_cell_angle_gamma 90.00
_space_group_name_H-M_alt 'C 1 2/m 1'
_space_group_IT_number 12
loop_
_space_group_symop_operation_xyz
'x,y,z'
'-x,-y,-z'
'-x,y,-z'
'x,-y,z'
'x+1/2,y+1/2,z'
'-x+1/2,-y+1/2,-z'
'-x+1/2,y+1/2,-z'
'x+1/2,-y+1/2,z'
loop_
_atom_site_label
_atom_site_type_symbol
_atom_site_fract_x
_atom_site_fract_y
_atom_site_fract_z
Pt1 Pt 0.250 0.250 0.000
Rh1 Rh 0.000 0.000 0.000
Cl1 Cl 0.000 0.500 0.000
```


19.
Compound: Cs5Rb
Source: the Alexandria database
Functional: PBE
Structure: relaxed

Computed properties:
The energy of formation is 0.01 kcal/mol of atoms.

Structure (CIF):
```
data_Cs5Rb
_cell_length_a 7.646
_cell_length_b 22.289
_cell_length_c 7.738
_cell_angle_alpha 90.00
_cell_angle_beta 90.00
_cell_angle_gamma 90.00
_space_group_name_H-M_alt 'C m m m'
_space_group_IT_number 65
_space_group_name_Hall '-C 2 2'
loop_
_atom_site_label
_atom_site_type_symbol
_atom_site_fract_x
_atom_site_fract_y
_atom_site_fract_z
Cs1 Cs 0.000 0.000 0.000
Cs2 Cs 0.000 0.163 0.500
Cs3 Cs 0.000 0.336 0.000
Rb1 Rb 0.000 0.500 0.500
```


20.
Compound: Be3P2
Source: the Alexandria database
Functional: PBE
Structure: relaxed

Computed properties:
Its energy relative to the lowest polymorph listed for this composition is 156 meV per atom. The energy of formation is -1.95 kcal/mol of atoms.

Structure (CIF):
```
data_Be3P2
_cell_length_a 5.082
_cell_length_b 5.082
_cell_length_c 5.082
_cell_angle_alpha 90.00
_cell_angle_beta 90.00
_cell_angle_gamma 90.00
_space_group_name_H-M_alt 'P n -3 m'
_space_group_IT_number 224
loop_
_space_group_symop_operation_xyz
'x,y,z'
'-x,-y,-z'
'-y,x+1/2,z+1/2'
'y,-x+1/2,-z+1/2'
'-x+1/2,-y+1/2,z'
'x+1/2,y+1/2,-z'
'y+1/2,-x,z+1/2'
'-y+1/2,x,-z+1/2'
'x,-y+1/2,-z+1/2'
'-x,y+1/2,z+1/2'
'-y,-x,-z'
'y,x,z'
'-x+1/2,y,-z+1/2'
'x+1/2,-y,z+1/2'
'y+1/2,x+1/2,-z'
'-y+1/2,-x+1/2,z'
'z,x,y'
'-z,-x,-y'
'z+1/2,-y,x+1/2'
'-z+1/2,y,-x+1/2'
'z,-x+1/2,-y+1/2'
'-z,x+1/2,y+1/2'
'z+1/2,y+1/2,-x'
'-z+1/2,-y+1/2,x'
'-z+1/2,x,-y+1/2'
'z+1/2,-x,y+1/2'
'-z,-y,-x'
'z,y,x'
'-z+1/2,-x+1/2,y'
'z+1/2,x+1/2,-y'
'-z,y+1/2,x+1/2'
'z,-y+1/2,-x+1/2'
'y,z,x'
'-y,-z,-x'
'x+1/2,z+1/2,-y'
'-x+1/2,-z+1/2,y'
'-y+1/2,z,-x+1/2'
'y+1/2,-z,x+1/2'
'-x,z+1/2,y+1/2'
'x,-z+1/2,-y+1/2'
'-y+1/2,-z+1/2,x'
'y+1/2,z+1/2,-x'
'-x,-z,-y'
'x,z,y'
'y,-z+1/2,-x+1/2'
'-y,z+1/2,x+1/2'
'x+1/2,-z,y+1/2'
'-x+1/2,z,-y+1/2'
loop_
_atom_site_label
_atom_site_type_symbol
_atom_site_fract_x
_atom_site_fract_y
_atom_site_fract_z
Be1 Be 0.250 0.250 0.750
P1 P 0.000 0.000 0.000
```